Entry 1:
First-principles (GGA-PBE) data for a relaxed structure of SrErSe, as listed in Alexandria.

Lattice parameters (Å, degrees): 4.0209 4.0191 13.9984 90.00 90.00 120.02
Sites, in units of the cell vectors:
Se 0.6110 0.2220 0.0000
Se 0.2779 0.5559 0.5000
Er 0.6114 0.2227 0.3730
Er 0.6114 0.2227 0.6270
Sr 0.2775 0.5550 0.8564
Sr 0.2775 0.5550 0.1436

Calculated values
As for the crystal system: hexagonal. As for the space group: No. 187. For the total magnetization, the calculation gives 0.0000 μB/atom. For the calculated total energy, the calculation gives -4.227 eV per atom.

---

Entry 2:
First-principles (GGA-PBE) data for a relaxed structure of Zr2CrCdN, as listed in Alexandria.

Lattice parameters (Å, degrees): 4.6488 4.6488 3.7657 90.00 90.00 90.00
Sites, in units of the cell vectors:
Cr 0.0000 0.0000 0.5000
N 0.0000 0.0000 0.0000
Zr 0.0000 0.5000 0.0000
Zr 0.5000 0.0000 0.0000
Cd 0.5000 0.5000 0.5000

Calculated values
As for the crystal system: tetragonal. As for the space group: No. 123. The relative energy among the computed polymorphs is 0 meV/atom. For the total magnetization, the calculation gives 0.0000 μB/atom. For the calculated total energy, the calculation gives -7.779 eV per atom.

---

Entry 3:
First-principles (GGA-PBE) data for a relaxed structure of ZrSc2Hg, as listed in Alexandria.

Lattice parameters (Å, degrees): 4.2774 4.2774 10.7892 78.57 78.57 90.00
Sites, in units of the cell vectors:
Sc 0.6280 0.1250 0.2500
Sc 0.1220 0.6250 0.2500
Sc 0.3750 0.3720 0.7500
Sc 0.8750 0.8780 0.7500
Hg 0.0000 0.0000 0.0000
Hg 0.7500 0.2500 0.5000
Zr 0.5000 0.5000 0.0000
Zr 0.2500 0.7500 0.5000

Calculated values
As for the energy of formation from the pure elements: 0.18 eV/atom. As for the crystal system: tetragonal. As for the space group: No. 122. For the total magnetization, the calculation gives 0.0000 μB/atom. For the calculated total energy, the calculation gives -5.197 eV per atom.

---

Entry 4:
First-principles (GGA-PBE) data for a relaxed structure of Tb6Sm3Dy2Mg, as listed in Alexandria.

Lattice parameters (Å, degrees): 6.1637 6.1637 11.7385 95.04 95.04 120.04
Sites, in units of the cell vectors:
Tb 0.9188 0.5866 0.7540
Tb 0.7488 0.7488 0.2471
Tb 0.0812 0.4134 0.2460
Tb 0.5866 0.9188 0.7540
Tb 0.2512 0.2512 0.7529
Tb 0.4134 0.0812 0.2460
Sm 0.1661 0.8339 0.5000
Sm 0.8339 0.1661 0.5000
Sm 0.5000 0.5000 0.5000
Dy 0.3336 0.6664 0.0000
Dy 0.6664 0.3336 0.0000
Mg 0.0000 0.0000 0.0000

Calculated values
As for the energy of formation from the pure elements: 0.03 eV/atom. As for the crystal system: monoclinic. As for the space group: No. 12. For the total magnetization, the calculation gives 0.0000 μB/atom. For the calculated total energy, the calculation gives -4.367 eV per atom.

---

Entry 5:
First-principles (GGA-PBE) data for a relaxed structure of BePSeN2, as listed in Alexandria.

Lattice parameters (Å, degrees): 3.2887 3.2887 6.6915 90.00 90.00 90.00
Sites, in units of the cell vectors:
P 0.0000 0.0000 0.0000
Be 0.5000 0.5000 0.5000
Se 0.0000 0.0000 0.5000
N 0.0000 0.5000 0.0000
N 0.5000 0.0000 0.0000

Calculated values
As for the crystal system: tetragonal. As for the space group: No. 123. The relative energy among the computed polymorphs is 0 meV/atom. For the total magnetization, the calculation gives 0.0702 μB/atom. For the calculated total energy, the calculation gives -5.203 eV per atom.

---

Entry 6:
First-principles (GGA-PBE) data for a relaxed structure of HoGaAs2, as listed in Alexandria.

Lattice parameters (Å, degrees): 3.5900 3.5900 9.1057 78.63 78.63 60.00
Sites, in units of the cell vectors:
As 0.1070 0.1070 0.6790
As 0.8930 0.8930 0.3210
Ho 0.0000 0.0000 0.0000
Ga 0.5000 0.5000 0.5000

Calculated values
As for the energy of formation from the pure elements: 0.05 eV/atom. As for the crystal system: trigonal. As for the space group: No. 166. For the total magnetization, the calculation gives 0.0000 μB/atom. For the calculated total energy, the calculation gives -4.172 eV per atom.

---

Entry 7:
First-principles (GGA-PBE) data for a relaxed structure of MgBeH4, as listed in Alexandria.

Lattice parameters (Å, degrees): 4.2232 4.2232 6.5090 85.92 85.92 70.67
Sites, in units of the cell vectors:
Mg 0.5000 0.0000 0.5000
Mg 0.0000 0.5000 0.0000
Be 0.1246 0.8754 0.2500
Be 0.8754 0.1246 0.7500
H 0.2070 0.1442 0.7454
H 0.2837 0.7012 0.4279
H 0.7163 0.2988 0.5721
H 0.1442 0.2070 0.2454
H 0.8558 0.7930 0.7546
H 0.2988 0.7163 0.0721
H 0.7012 0.2837 0.9279
H 0.7930 0.8558 0.2546

Calculated values
As for the crystal system: monoclinic. As for the space group: No. 15. The relative energy among the computed polymorphs is 24 meV/atom. For the total magnetization, the calculation gives 0.0000 μB/atom. For the calculated total energy, the calculation gives -3.227 eV per atom.

---

Entry 8:
First-principles (GGA-PBE) data for a relaxed structure of LiThAlRe, as listed in Alexandria.

Lattice parameters (Å, degrees): 4.7234 4.7234 4.7234 60.00 60.00 60.00
Sites, in units of the cell vectors:
Re 0.7500 0.7500 0.7500
Al 0.5000 0.5000 0.5000
Th 0.0000 0.0000 0.0000
Li 0.2500 0.2500 0.2500

Calculated values
As for the energy of formation from the pure elements: -0.01 eV/atom. As for the crystal system: cubic. As for the space group: No. 216. For the total magnetization, the calculation gives 0.0000 μB/atom. For the calculated total energy, the calculation gives -6.394 eV per atom.

---

Q: total magnetization of number 7 (MgBeH4)?
A: 0.0000 μB/atom

---

Q: Which value of total magnetization does entry 1 give?
A: 0.0000 μB/atom